[1]
Below is Np2SnN after structural relaxation, with properties calculated at the PBE-GGA level.

Lattice parameters (Å, degrees): 3.346 3.346 8.585 78.76 78.76 60.00
Fractional coordinates of all 4 atoms:
Sn (0.500, 0.500, 0.500)
Np (0.276, 0.276, 0.171)
N (0.000, 0.000, 0.000)
Np (0.724, 0.724, 0.829)

Values from the calculation:
total energy = -10.00 eV/atom
total moment = 7.48 μB per formula unit
V = 20.28 Å³ per atom

[2]
Below is Tb2NpSnN5 after structural relaxation, with properties calculated at the PBE-GGA level.

Lattice parameters (Å, degrees): 3.447 7.190 10.518 90.00 90.00 103.87
Fractional coordinates of all 18 atoms:
Tb (0.892, 0.783, 0.193)
Tb (0.108, 0.217, 0.693)
N (0.371, 0.742, 0.008)
Np (0.218, 0.436, 0.009)
Np (0.782, 0.564, 0.509)
N (0.506, 0.012, 0.273)
Tb (0.133, 0.266, 0.287)
N (0.941, 0.883, 0.566)
Sn (0.478, 0.955, 0.466)
N (0.059, 0.117, 0.066)
N (0.305, 0.609, 0.375)
N (0.279, 0.559, 0.647)
N (0.695, 0.391, 0.875)
Sn (0.522, 0.045, 0.966)
N (0.494, 0.988, 0.773)
N (0.629, 0.258, 0.508)
N (0.721, 0.441, 0.147)
Tb (0.867, 0.734, 0.787)

Values from the calculation:
total energy = -8.43 eV/atom
total moment = 2.00 μB per formula unit
V = 14.06 Å³ per atom